Entry P
Here is a relaxed TlCu2Ir crystal from Alexandria via LeMat-Bulk. Energies are from PBE.

Cell: 5.797 3.946 6.106 Å, 90.00 115.88 90.00°
Space group Pm (No. 6)
Symmetry-distinct sites (fractional):
1 Tl 0.000 0.000 0.000
2 Tl 0.143 0.500 0.664
3 Cu 0.331 0.000 0.477
4 Cu 0.412 0.500 0.241
5 Cu 0.638 0.500 0.708
6 Cu 0.806 0.500 0.182
7 Ir 0.486 0.000 0.966
8 Ir 0.764 0.000 0.461


Entry Q
Here is a relaxed TlCu2Ir crystal from Alexandria via LeMat-Bulk. Energies are from PBE.

Cell: 3.988 3.988 7.727 Å, 90.00 90.00 90.00°
Space group I4/mmm (No. 139)
Symmetry-distinct sites (fractional):
1 Tl 0.000 0.000 0.000
2 Cu 0.000 0.500 0.250
3 Ir 0.000 0.000 0.500


Relative energies in meV per atom: entry P 0; entry Q 45


Entry P
Here is a relaxed TlCu2Ir crystal from Alexandria via LeMat-Bulk. Energies are from PBE.

Cell: 2.963 2.963 7.434 Å, 90.00 90.00 90.00°
Space group P4/mmm (No. 123)
Symmetry-distinct sites (fractional):
1 Tl 0.000 0.000 0.000
2 Cu 0.500 0.500 0.293
3 Ir 0.000 0.000 0.500


Entry Q
Here is a relaxed TlCu2Ir crystal from Alexandria via LeMat-Bulk. Energies are from PBE.

Cell: 3.856 7.850 8.195 Å, 90.00 90.00 90.00°
Space group Amm2 (No. 38)
Symmetry-distinct sites (fractional):
1 Tl 0.000 0.000 0.000
2 Tl 0.500 0.000 0.299
3 Cu 0.000 0.000 0.550
4 Cu 0.000 0.239 0.768
5 Cu 0.500 0.000 0.759
6 Ir 0.500 0.245 0.537


Entry R
Here is a relaxed TlCu2Ir crystal from Alexandria via LeMat-Bulk. Energies are from PBE.

Cell: 6.244 6.244 6.244 Å, 90.00 90.00 90.00°
Space group Fm-3m (No. 225)
Symmetry-distinct sites (fractional):
1 Tl 0.000 0.000 0.000
2 Cu 0.250 0.250 0.250
3 Ir 0.000 0.000 0.500


Relative energies in meV per atom: entry P 94; entry Q 0; entry R 83


Entry P
Here is a relaxed TlCu2Ir crystal from Alexandria via LeMat-Bulk. Energies are from PBE.

Cell: 3.089 4.531 9.046 Å, 90.00 90.00 90.00°
Space group Immm (No. 71)
Symmetry-distinct sites (fractional):
1 Tl 0.000 0.000 0.000
2 Cu 0.000 0.500 0.240
3 Ir 0.000 0.000 0.500


Entry Q
Here is a relaxed TlCu2Ir crystal from Alexandria via LeMat-Bulk. Energies are from PBE.

Cell: 9.583 3.311 4.308 Å, 90.00 116.57 90.00°
Space group Cm (No. 8)
Symmetry-distinct sites (fractional):
1 Tl 0.000 0.000 0.000
2 Cu 0.022 0.500 0.522
3 Cu 0.245 0.000 0.747
4 Ir 0.270 0.500 0.272


Relative energies in meV per atom: entry P 44; entry Q 0


Entry P
Here is a relaxed TlCu2Ir crystal from Alexandria via LeMat-Bulk. Energies are from PBE.

Cell: 2.9372 2.9372 25.9193 Å, 90.00 90.00 120.00°
Space group R3m (No. 160, hexagonal axes)
Symmetry-distinct sites (fractional):
1 Tl 0.0000 0.0000 0.0000
2 Cu 0.0000 0.0000 0.2405
3 Cu 0.0000 0.0000 0.5021
4 Ir 0.0000 0.0000 0.7581


Entry Q
Here is a relaxed TlCu2Ir crystal from Alexandria via LeMat-Bulk. Energies are from PBE.

Cell: 2.904 4.136 5.370 Å, 90.00 105.63 90.00°
Space group Pm (No. 6)
Symmetry-distinct sites (fractional):
1 Tl 0.000 0.000 0.000
2 Cu 0.621 0.500 0.241
3 Cu 0.739 0.000 0.494
4 Ir 0.338 0.500 0.685


Entry R
Here is a relaxed TlCu2Ir crystal from Alexandria via LeMat-Bulk. Energies are from PBE.

Cell: 9.552 5.939 4.631 Å, 90.00 108.02 90.00°
Space group Cm (No. 8)
Symmetry-distinct sites (fractional):
1 Tl 0.000 0.000 0.000
2 Tl 0.231 0.500 0.431
3 Cu 0.242 0.000 0.488
4 Cu 0.245 0.222 0.958
5 Cu 0.475 0.000 0.963
6 Ir 0.483 0.229 0.483


Relative energies in meV per atom: entry P 207; entry Q 93; entry R 0


Entry P
Here is a relaxed TlCu2Ir crystal from Alexandria via LeMat-Bulk. Energies are from PBE.

Cell: 5.143 4.131 6.138 Å, 90.00 94.54 90.00°
Space group Pm (No. 6)
Symmetry-distinct sites (fractional):
1 Tl 0.000 0.000 0.000
2 Tl 0.473 0.500 0.876
3 Cu 0.104 0.000 0.458
4 Cu 0.353 0.500 0.417
5 Cu 0.808 0.500 0.309
6 Cu 0.968 0.500 0.682
7 Ir 0.509 0.000 0.188
8 Ir 0.647 0.000 0.607


Entry Q
Here is a relaxed TlCu2Ir crystal from Alexandria via LeMat-Bulk. Energies are from PBE.

Cell: 3.981 3.981 7.783 Å, 90.00 90.00 90.00°
Space group I-4m2 (No. 119)
Symmetry-distinct sites (fractional):
1 Tl 0.000 0.000 0.000
2 Cu 0.000 0.000 0.500
3 Cu 0.000 0.500 0.250
4 Ir 0.000 0.500 0.750


Entry R
Here is a relaxed TlCu2Ir crystal from Alexandria via LeMat-Bulk. Energies are from PBE.

Cell: 6.304 6.304 6.304 Å, 90.00 90.00 90.00°
Space group F-43m (No. 216)
Symmetry-distinct sites (fractional):
1 Tl 0.000 0.000 0.000
2 Cu 0.000 0.000 0.500
3 Cu 0.250 0.250 0.750
4 Ir 0.250 0.250 0.250


Relative energies in meV per atom: entry P 0; entry Q 35; entry R 92


Entry P
Here is a relaxed TlCu2Ir crystal from Alexandria via LeMat-Bulk. Energies are from PBE.

Cell: 2.9402 2.9402 26.1462 Å, 90.00 90.00 120.00°
Space group R-3m (No. 166, hexagonal axes)
Symmetry-distinct sites (fractional):
1 Tl 0.0000 0.0000 0.0000
2 Cu 0.0000 0.0000 0.2431
3 Ir 0.0000 0.0000 0.5000


Entry Q
Here is a relaxed TlCu2Ir crystal from Alexandria via LeMat-Bulk. Energies are from PBE.

Cell: 3.082 3.082 6.555 Å, 90.00 90.00 90.00°
Space group P4mm (No. 99)
Symmetry-distinct sites (fractional):
1 Tl 0.000 0.000 0.000
2 Cu 0.000 0.000 0.485
3 Cu 0.500 0.500 0.295
4 Ir 0.500 0.500 0.708


Entry R
Here is a relaxed TlCu2Ir crystal from Alexandria via LeMat-Bulk. Energies are from PBE.

Cell: 4.552 5.318 6.098 Å, 71.10 89.23 65.60°
Space group P1 (No. 1)
Symmetry-distinct sites (fractional):
1 Tl 0.000 0.000 0.000
2 Tl 0.333 0.492 0.830
3 Cu 0.366 0.460 0.358
4 Cu 0.460 0.985 0.278
5 Cu 0.496 0.960 0.697
6 Cu 0.945 0.003 0.461
7 Ir 0.831 0.522 0.123
8 Ir 0.862 0.471 0.569


Entry S
Here is a relaxed TlCu2Ir crystal from Alexandria via LeMat-Bulk. Energies are from PBE.

Cell: 3.005 4.869 8.891 Å, 90.00 90.00 90.00°
Space group Cmm2 (No. 35)
Symmetry-distinct sites (fractional):
1 Tl 0.000 0.000 0.000
2 Cu 0.000 0.000 0.491
3 Cu 0.000 0.500 0.274
4 Ir 0.000 0.500 0.723


Relative energies in meV per atom: entry P 214; entry Q 48; entry R 0; entry S 224


Entry P
Here is a relaxed Tm4Cu2Ir crystal from Alexandria via LeMat-Bulk. Energies are from PBE.

Cell: 6.824 7.424 7.430 Å, 105.67 106.91 107.05°
Space group P1 (No. 1)
Symmetry-distinct sites (fractional):
1 Tm 0.000 0.000 0.000
2 Tm 0.010 0.927 0.437
3 Tm 0.140 0.390 0.773
4 Tm 0.430 0.897 0.817
5 Tm 0.501 0.619 0.392
6 Tm 0.515 0.059 0.317
7 Tm 0.642 0.395 0.778
8 Tm 0.931 0.428 0.276
9 Cu 0.120 0.688 0.084
10 Cu 0.451 0.288 0.051
11 Cu 0.604 0.699 0.072
12 Cu 0.951 0.661 0.665
13 Ir 0.251 0.280 0.424
14 Ir 0.752 0.042 0.668


Entry Q
Here is a relaxed Tm4Cu2Ir crystal from Alexandria via LeMat-Bulk. Energies are from PBE.

Cell: 4.8122 4.8122 23.3431 Å, 90.00 90.00 120.00°
Space group R-3m (No. 166, hexagonal axes)
Symmetry-distinct sites (fractional):
1 Tm 0.0000 0.0000 0.1237
2 Tm 0.0000 0.0000 0.3749
3 Cu 0.0000 0.0000 0.2496
4 Ir 0.0000 0.0000 0.0000


Relative energies in meV per atom: entry P 0; entry Q 29


Entry P
Here is a relaxed Tm4CuIr crystal from Alexandria via LeMat-Bulk. Energies are from PBE.

Cell: 6.076 6.666 7.586 Å, 90.00 108.37 90.00°
Space group P2_1/m (No. 11)
Symmetry-distinct sites (fractional):
1 Tm 0.004 0.000 0.249
2 Tm 0.425 0.250 0.102
3 Tm 0.433 0.250 0.613
4 Cu 0.222 0.750 0.559
5 Ir 0.222 0.750 0.053


Entry Q
Here is a relaxed Tm4CuIr crystal from Alexandria via LeMat-Bulk. Energies are from PBE.

Cell: 6.815 6.769 6.769 Å, 90.00 91.85 90.00°
Space group P2_1/c (No. 14)
Symmetry-distinct sites (fractional):
1 Tm 0.158 0.161 0.170
2 Tm 0.333 0.660 0.156
3 Cu 0.500 0.000 0.000
4 Ir 0.000 0.000 0.500


Relative energies in meV per atom: entry P 0; entry Q 53


Entry P
Here is a relaxed VCuIr2 crystal from Alexandria via LeMat-Bulk. Energies are from PBE.

Cell: 6.798 6.798 5.307 Å, 90.00 90.00 90.00°
Space group I-42d (No. 122)
Symmetry-distinct sites (fractional):
1 V 0.000 0.000 0.000
2 Cu 0.000 0.000 0.500
3 Ir 0.217 0.750 0.125


Entry Q
Here is a relaxed VCuIr2 crystal from Alexandria via LeMat-Bulk. Energies are from PBE.

Cell: 6.009 6.009 6.009 Å, 90.00 90.00 90.00°
Space group Fm-3m (No. 225)
Symmetry-distinct sites (fractional):
1 V 0.000 0.000 0.000
2 Cu 0.000 0.000 0.500
3 Ir 0.250 0.250 0.250


Entry R
Here is a relaxed VCuIr2 crystal from Alexandria via LeMat-Bulk. Energies are from PBE.

Cell: 3.087 3.087 5.716 Å, 90.00 90.00 90.00°
Space group P4/mmm (No. 123)
Symmetry-distinct sites (fractional):
1 V 0.000 0.000 0.000
2 Cu 0.000 0.000 0.500
3 Ir 0.500 0.500 0.249


Entry S
Here is a relaxed VCuIr2 crystal from Alexandria via LeMat-Bulk. Energies are from PBE.

Cell: 3.907 3.907 3.563 Å, 90.00 90.00 90.00°
Space group P4/mmm (No. 123)
Symmetry-distinct sites (fractional):
1 V 0.000 0.000 0.000
2 Cu 0.500 0.500 0.000
3 Ir 0.000 0.500 0.500


Relative energies in meV per atom: entry P 460; entry Q 0; entry R 16; entry S 31